Record 1
Zr2AlV | GGA-PBE | optimized geometry

extended XYZ file:
```
4
Lattice="3.154 0.000 0.000 1.577 2.732 0.000 1.577 0.911 9.169" Properties=species:S:1:pos:R:3 pbc="T T T"
Zr 4.732 2.732 6.994
Al 3.154 1.821 4.585
Zr 1.577 0.911 2.176
V 0.000 0.000 0.000
```

Space-group type: R-3m
Energy of formation from the pure elements (eV per atom): 0.10



Record 2
Cu14AsAu | GGA-PBE | optimized geometry

extended XYZ file:
```
16
Lattice="5.196 -0.182 0.000 -2.204 4.709 0.000 0.000 0.000 8.477" Properties=species:S:1:pos:R:3 pbc="T T T"
As -1.874 4.492 4.239
Cu 0.576 2.872 6.439
Au 1.865 2.020 4.239
Cu 4.256 0.440 2.086
Cu 1.684 0.493 6.452
Cu 1.684 0.493 2.025
Cu 0.576 2.872 2.038
Cu 4.256 0.440 6.391
Cu 3.199 2.786 2.025
Cu 2.982 1.282 0.000
Cu 0.727 4.363 4.239
Cu 0.369 1.359 0.000
Cu 1.887 3.656 0.000
Cu -0.707 3.720 0.000
Cu -0.737 2.149 4.239
Cu 3.199 2.786 6.452
```

Space-group type: Amm2
Energy of formation from the pure elements (eV per atom): 0.04



Record 3
Pr2Zn3CuPd4 | GGA-PBE | optimized geometry

extended XYZ file:
```
10
Lattice="-0.178 1.151 4.026 3.331 -2.403 0.835 6.621 8.442 -2.121" Properties=species:S:1:pos:R:3 pbc="T T T"
Cu 4.887 3.595 1.370
Pd 1.576 -0.626 2.430
Pr 6.621 5.117 -1.170
Zn 3.311 4.221 -1.060
Zn 2.542 -0.084 0.137
Zn 5.656 7.901 0.173
Pr 1.576 2.699 1.480
Pd 0.000 0.000 0.000
Pd 4.063 1.856 -0.351
Pd 4.134 5.960 0.660
```

Space-group type: P-4m2
Energy of formation from the pure elements (eV per atom): -0.57



Record 4
In5SnHg6 | GGA-PBE | optimized geometry

extended XYZ file:
```
12
Lattice="8.642 -0.434 0.000 2.007 6.519 0.000 1.004 3.259 5.712" Properties=species:S:1:pos:R:3 pbc="T T T"
Hg 3.659 4.785 1.895
Hg 7.973 4.591 0.000
Hg 2.676 1.494 0.000
In 5.325 3.042 0.000
In 6.328 6.302 1.952
Hg 4.663 8.044 3.817
Sn 0.000 0.000 0.000
Hg 6.990 1.300 1.895
In 1.004 3.259 1.901
In 5.325 3.042 3.760
In 2.007 6.519 3.811
Hg 7.994 4.560 3.817
```

Space-group type: C2/m
Energy of formation from the pure elements (eV per atom): 0.02



Record 5
BaOsPt | GGA-PBE | optimized geometry

extended XYZ file:
```
6
Lattice="-3.171 0.593 2.474 0.623 -4.596 1.899 4.845 2.933 5.506" Properties=species:S:1:pos:R:3 pbc="T T T"
Os -1.668 -1.612 3.259
Pt 2.449 -0.376 4.899
Os 3.965 0.542 6.621
Ba 1.262 2.648 5.992
Ba 0.412 0.878 1.988
Pt -0.152 -0.695 4.981
```

Space-group type: Pmma
Energy of formation from the pure elements (eV per atom): -0.06
Offset from the most stable computed form (meV/atom): 0



Record 6
ReNiHg2 | GGA-PBE | optimized geometry

extended XYZ file:
```
4
Lattice="4.916 0.008 0.024 4.098 2.716 0.024 0.959 0.290 5.109" Properties=species:S:1:pos:R:3 pbc="T T T"
Hg 4.921 1.487 2.613
Re 2.493 0.753 1.289
Ni 7.480 2.260 3.868
Hg 1.025 0.310 5.075
```

Space-group type: C2/m
Energy of formation from the pure elements (eV per atom): 0.76
Offset from the most stable computed form (meV/atom): 333



Record 7
MgZrCo2 | GGA-PBE | optimized geometry

extended XYZ file:
```
4
Lattice="2.976 0.000 0.000 0.000 3.905 0.000 0.000 0.000 5.314" Properties=species:S:1:pos:R:3 pbc="T T T"
Zr 1.488 1.952 4.252
Co 1.488 1.952 1.425
Co 0.000 0.000 5.208
Mg 0.000 0.000 2.399
```

Space-group type: Pmm2
Energy of formation from the pure elements (eV per atom): 0.13



no.,E_tot (eV per cell)
1,-29.57
2,-64.62
3,-43.90
4,-19.30
5,-38.74
6,-15.78
7,-23.83